Record 1
A plane-wave DFT calculation with GGA-PBE was carried out for crystalline SrSn2S4 at its relaxed geometry.

Calculated values
E_form (uncorrected)	-0.90	eV per atom
energy relative to the lowest polymorph listed for this composition	0.00	eV per formula unit

a = 6.737 Å, b = 8.540 Å, c = 14.725 Å
α = 90.00°, β = 90.00°, γ = 90.00°
Positions (direct):
S  0.749  0.971  0.836
S  0.265  0.250  0.939
S  0.249  0.029  0.664
S  0.765  0.750  0.561
S  0.249  0.471  0.664
S  0.735  0.750  0.061
S  0.751  0.529  0.336
S  0.251  0.029  0.164
S  0.769  0.250  0.091
S  0.251  0.471  0.164
S  0.269  0.750  0.409
S  0.731  0.250  0.591
S  0.231  0.750  0.909
S  0.749  0.529  0.836
S  0.751  0.971  0.336
S  0.235  0.250  0.439
Sn  0.412  0.250  0.090
Sn  0.000  0.500  0.000
Sn  0.088  0.250  0.590
Sn  0.588  0.750  0.910
Sn  0.000  0.000  0.000
Sn  0.500  0.500  0.500
Sn  0.912  0.750  0.410
Sn  0.500  0.000  0.500
Sr  0.513  0.250  0.772
Sr  0.013  0.750  0.728
Sr  0.987  0.250  0.272
Sr  0.487  0.750  0.228

=====

Record 2
A plane-wave DFT calculation with GGA-PBE was carried out for crystalline Pm2ZrC at its relaxed geometry.

Calculated values
formation enthalpy at 0 K	0.25	eV/atom

a = 3.489 Å, b = 3.489 Å, c = 9.769 Å
α = 79.71°, β = 79.71°, γ = 60.00°
Positions (direct):
Zr  0.000  0.000  0.000
Pm  0.117  0.117  0.650
Pm  0.883  0.883  0.350
C  0.500  0.500  0.500

=====

Energy per entry: -4.640, -6.567 eV/atom
Ρ per entry: 3.55, 6.48 g/cm³